[1]
An optimized crystal structure of LaErCoBr. Source: the Alexandria database, functional GGA-PBE.

Cell lengths 3.9172, 3.9172, 23.4691 Å; angles 90.00, 90.00, 120.00 degrees
Last column: nearest neighbours and their distance in Å.
Space group R3m (No. 160, hexagonal axes)
Unique sites:
La (0.0000, 0.0000, 0.0000)  3 Co 2.71
Er (0.0000, 0.0000, 0.2077)  3 Co 2.69
Co (0.0000, 0.0000, 0.6034)  3 Er 2.69, 3 La 2.71
Br (0.0000, 0.0000, 0.7781)  3 Er 3.20, 3 La 3.46

DOS(E_F): 0.84 states/eV/f.u.
Spin magnetization: 0.0 μB/f.u.
Total energy: -0.1960 hartree per atom
Formation energy from raw total energies: -0.7649 eV per atom

=====

[2]
An optimized crystal structure of NdErCoBr. Source: the Alexandria database, functional GGA-PBE.

Cell lengths 6.7415, 3.8953, 8.0709 Å; angles 90.00, 106.22, 90.00 degrees
Last column: nearest neighbours and their distance in Å.
Space group Cm (No. 8)
Unique sites:
Nd (0.0000, 0.0000, 0.0000)  3 Co 2.71-2.72
Er (0.2071, 0.0000, 0.6206)  3 Co 2.66
Co (0.1014, 0.5000, 0.8038)  3 Er 2.66, 3 Nd 2.71-2.72
Br (0.2746, 0.5000, 0.3252)  3 Er 3.21, 3 Nd 3.38

DOS(E_F): 0.74 states/eV/f.u.
Spin magnetization: 0.0 μB/f.u.
Total energy: -0.1925 hartree per atom
Formation energy from raw total energies: -0.7106 eV per atom